A:
This record from Alexandria describes a geometry-optimized Li2InAg7 structure. The functional is PBE-GGA.

Summary:
Crystal system = orthorhombic

Structure (CIF):
```
data_Li2InAg7
_chemical_formula_sum 'Li2 In1 Ag7'
_symmetry_space_group_name_H-M 'P 1'
_symmetry_Int_Tables_number 1
_cell_length_a 4.5469
_cell_length_b 7.5316
_cell_length_c 7.5316
_cell_angle_alpha 120.84
_cell_angle_beta 90.00
_cell_angle_gamma 90.00
loop_
_symmetry_equiv_pos_as_xyz
'x,y,z'
loop_
_atom_site_label
_atom_site_fract_x
_atom_site_fract_y
_atom_site_fract_z
Ag1 0.5000 0.3030 0.0703
Ag2 0.5000 0.9297 0.6970
Ag3 0.5000 0.0703 0.3030
Li1 0.5000 0.6996 0.3004
Ag4 0.5000 0.5000 0.5000
Li2 0.5000 0.3004 0.6996
Ag5 0.0000 0.2126 0.7874
In1 0.0000 0.0000 0.0000
Ag6 0.0000 0.7874 0.2126
Ag7 0.5000 0.6970 0.9297
```


B:
This record from Alexandria describes a geometry-optimized Li2InAg7 structure. The functional is PBE-GGA.

Summary:
Crystal system = orthorhombic

Structure (CIF):
```
data_Li2InAg7
_chemical_formula_sum 'Li2 In1 Ag7'
_symmetry_space_group_name_H-M 'P 1'
_symmetry_Int_Tables_number 1
_cell_length_a 2.9353
_cell_length_b 8.7548
_cell_length_c 8.7548
_cell_angle_alpha 116.65
_cell_angle_beta 90.00
_cell_angle_gamma 90.00
loop_
_symmetry_equiv_pos_as_xyz
'x,y,z'
loop_
_atom_site_label
_atom_site_fract_x
_atom_site_fract_y
_atom_site_fract_z
Ag1 0.5000 0.1397 0.3467
In1 0.0000 0.0000 0.0000
Ag2 0.5000 0.8603 0.6533
Ag3 0.0000 0.6611 0.3389
Ag4 0.5000 0.3467 0.1397
Ag5 0.0000 0.3389 0.6611
Li1 0.5000 0.1896 0.8104
Li2 0.5000 0.8104 0.1896
Ag6 0.5000 0.5000 0.5000
Ag7 0.5000 0.6533 0.8603
```


Calculated relative energies: A 119; B 0, given in meV per atom


A:
This record from Alexandria describes a geometry-optimized LiIn2Ag7 structure. The functional is PBE-GGA.

Summary:
Crystal system = trigonal

Structure (CIF):
```
data_LiIn2Ag7
_chemical_formula_sum 'Li1 In2 Ag7'
_symmetry_space_group_name_H-M 'P 1'
_symmetry_Int_Tables_number 1
_cell_length_a 4.5846
_cell_length_b 4.5847
_cell_length_c 11.1567
_cell_angle_alpha 90.00
_cell_angle_beta 90.00
_cell_angle_gamma 120.00
loop_
_symmetry_equiv_pos_as_xyz
'x,y,z'
loop_
_atom_site_label
_atom_site_fract_x
_atom_site_fract_y
_atom_site_fract_z
Ag1 0.3333 0.6667 0.8930
Ag2 0.0000 0.0000 0.7905
Li1 0.0000 0.0000 0.0532
Ag3 0.6667 0.3333 0.5112
Ag4 0.3333 0.6667 0.4022
Ag5 0.0000 0.0000 0.3294
Ag6 0.6667 0.3333 0.9775
In1 0.3333 0.6667 0.6479
In2 0.6667 0.3333 0.2379
Ag7 0.3333 0.6667 0.1406
```


B:
This record from Alexandria describes a geometry-optimized LiIn2Ag7 structure. The functional is PBE-GGA.

Summary:
Crystal system = orthorhombic

Structure (CIF):
```
data_LiIn2Ag7
_chemical_formula_sum 'Li1 In2 Ag7'
_symmetry_space_group_name_H-M 'P 1'
_symmetry_Int_Tables_number 1
_cell_length_a 4.4889
_cell_length_b 8.0425
_cell_length_c 8.0425
_cell_angle_alpha 123.60
_cell_angle_beta 90.00
_cell_angle_gamma 90.00
loop_
_symmetry_equiv_pos_as_xyz
'x,y,z'
loop_
_atom_site_label
_atom_site_fract_x
_atom_site_fract_y
_atom_site_fract_z
In1 0.5000 0.2995 0.7005
Ag1 0.5000 0.9197 0.7180
Ag2 0.5000 0.2820 0.0803
Li1 0.0000 0.0000 0.0000
Ag3 0.5000 0.0803 0.2820
In2 0.5000 0.7005 0.2995
Ag4 0.5000 0.5000 0.5000
Ag5 0.5000 0.7180 0.9197
Ag6 0.0000 0.1859 0.8141
Ag7 0.0000 0.8141 0.1859
```


Calculated relative energies: A 0; B 132, given in meV per atom


A:
This record from Alexandria describes a geometry-optimized LiIn2Ag6 structure. The functional is PBE-GGA.

Summary:
Crystal system = monoclinic

Structure (CIF):
```
data_LiIn2Ag6
_chemical_formula_sum 'Li2 In4 Ag12'
_symmetry_space_group_name_H-M 'P 1'
_symmetry_Int_Tables_number 1
_cell_length_a 4.9092
_cell_length_b 8.5951
_cell_length_c 8.5952
_cell_angle_alpha 69.76
_cell_angle_beta 83.78
_cell_angle_gamma 83.78
loop_
_symmetry_equiv_pos_as_xyz
'x,y,z'
loop_
_atom_site_label
_atom_site_fract_x
_atom_site_fract_y
_atom_site_fract_z
Li1 0.2500 0.1312 0.8688
Ag1 0.8004 0.0068 0.7886
Ag2 0.1297 0.3420 0.1074
Ag3 0.6297 0.1074 0.3420
Ag4 0.3703 0.8926 0.6580
Ag5 0.0289 0.5754 0.3165
Ag6 0.6996 0.2114 0.9932
Ag7 0.8703 0.6580 0.8926
Li2 0.7500 0.8688 0.1312
In1 0.5799 0.4748 0.2016
In2 0.0799 0.2016 0.4748
Ag8 0.1996 0.9932 0.2114
In3 0.9201 0.7984 0.5252
Ag9 0.9711 0.4246 0.6835
Ag10 0.5289 0.3165 0.5754
Ag11 0.3004 0.7886 0.0068
Ag12 0.4711 0.6835 0.4246
In4 0.4201 0.5252 0.7984
```


B:
This record from Alexandria describes a geometry-optimized LiIn2Ag6 structure. The functional is PBE-GGA.

Summary:
Crystal system = monoclinic

Structure (CIF):
```
data_LiIn2Ag6
_chemical_formula_sum 'Li1 In2 Ag6'
_symmetry_space_group_name_H-M 'P 1'
_symmetry_Int_Tables_number 1
_cell_length_a 6.4616
_cell_length_b 5.6411
_cell_length_c 5.6411
_cell_angle_alpha 60.01
_cell_angle_beta 90.15
_cell_angle_gamma 90.15
loop_
_symmetry_equiv_pos_as_xyz
'x,y,z'
loop_
_atom_site_label
_atom_site_fract_x
_atom_site_fract_y
_atom_site_fract_z
Ag1 0.6852 0.1687 0.1687
Ag2 0.6842 0.1687 0.6623
In1 0.8719 0.6667 0.6667
In2 0.1281 0.3333 0.3333
Ag3 0.3148 0.8313 0.8313
Ag4 0.3158 0.3377 0.8313
Ag5 0.6842 0.6623 0.1687
Ag6 0.3158 0.8313 0.3377
Li1 0.0000 0.0000 0.0000
```


Calculated relative energies: A 0; B 56, given in meV per atom


A:
This record from Alexandria describes a geometry-optimized Li2In4Ag5 structure. The functional is PBE-GGA.

Summary:
Crystal system = triclinic

Structure (CIF):
```
data_Li2In4Ag5
_chemical_formula_sum 'Li2 In4 Ag5'
_symmetry_space_group_name_H-M 'P 1'
_symmetry_Int_Tables_number 1
_cell_length_a 3.2307
_cell_length_b 7.5093
_cell_length_c 9.2378
_cell_angle_alpha 90.06
_cell_angle_beta 99.89
_cell_angle_gamma 89.89
loop_
_symmetry_equiv_pos_as_xyz
'x,y,z'
loop_
_atom_site_label
_atom_site_fract_x
_atom_site_fract_y
_atom_site_fract_z
In1 0.2418 0.1883 0.4805
In2 0.9320 0.7161 0.8606
Ag1 0.1825 0.5457 0.3656
Li1 0.5656 0.6331 0.1288
In3 0.7582 0.8117 0.5195
In4 0.0680 0.2839 0.1394
Ag2 0.8725 0.0887 0.7446
Ag3 0.5000 0.0000 0.0000
Ag4 0.1275 0.9113 0.2554
Li2 0.4344 0.3669 0.8712
Ag5 0.8175 0.4543 0.6344
```


B:
This record from Alexandria describes a geometry-optimized Li2In4Ag5 structure. The functional is PBE-GGA.

Summary:
Crystal system = orthorhombic

Structure (CIF):
```
data_Li2In4Ag5
_chemical_formula_sum 'Li2 In4 Ag5'
_symmetry_space_group_name_H-M 'P 1'
_symmetry_Int_Tables_number 1
_cell_length_a 4.5097
_cell_length_b 5.7575
_cell_length_c 10.3000
_cell_angle_alpha 106.23
_cell_angle_beta 102.65
_cell_angle_gamma 90.00
loop_
_symmetry_equiv_pos_as_xyz
'x,y,z'
loop_
_atom_site_label
_atom_site_fract_x
_atom_site_fract_y
_atom_site_fract_z
In1 0.2757 0.2757 0.5513
Li1 0.4245 0.4245 0.8491
Li2 0.5755 0.5755 0.1509
In2 0.7243 0.7243 0.4487
In3 0.0000 0.7410 0.0000
Ag1 0.1494 0.8967 0.2987
Ag2 0.8506 0.1033 0.7013
Ag3 0.5000 0.0000 0.0000
Ag4 0.1494 0.4020 0.2987
Ag5 0.8506 0.5980 0.7013
In4 0.0000 0.2590 0.0000
```


Calculated relative energies: A 0; B 117, given in meV per atom


A:
This record from Alexandria describes a geometry-optimized LiIn3Ag2 structure. The functional is PBE-GGA.

Summary:
Crystal system = orthorhombic

Structure (CIF):
```
data_LiIn3Ag2
_chemical_formula_sum 'Li1 In3 Ag2'
_symmetry_space_group_name_H-M 'P 1'
_symmetry_Int_Tables_number 1
_cell_length_a 4.3515
_cell_length_b 4.3746
_cell_length_c 6.9023
_cell_angle_alpha 90.00
_cell_angle_beta 108.37
_cell_angle_gamma 90.00
loop_
_symmetry_equiv_pos_as_xyz
'x,y,z'
loop_
_atom_site_label
_atom_site_fract_x
_atom_site_fract_y
_atom_site_fract_z
Li1 0.0000 0.0000 0.0000
In1 0.6668 0.0000 0.3335
Ag1 0.1647 0.5000 0.3294
In2 0.3332 0.0000 0.6665
Ag2 0.8353 0.5000 0.6706
In3 0.5000 0.5000 0.0000
```


B:
This record from Alexandria describes a geometry-optimized LiIn3Ag2 structure. The functional is PBE-GGA.

Summary:
Crystal system = monoclinic

Structure (CIF):
```
data_LiIn3Ag2
_chemical_formula_sum 'Li2 In6 Ag4'
_symmetry_space_group_name_H-M 'P 1'
_symmetry_Int_Tables_number 1
_cell_length_a 6.1257
_cell_length_b 6.3581
_cell_length_c 7.4155
_cell_angle_alpha 101.14
_cell_angle_beta 114.40
_cell_angle_gamma 90.00
loop_
_symmetry_equiv_pos_as_xyz
'x,y,z'
loop_
_atom_site_label
_atom_site_fract_x
_atom_site_fract_y
_atom_site_fract_z
In1 0.8332 0.4007 0.6464
Ag1 0.6361 0.5641 0.2761
Ag2 0.3639 0.4359 0.7239
In2 0.2388 0.7500 0.0000
Li1 0.2466 0.2500 0.0000
Ag3 0.6400 0.0641 0.2761
In3 0.7612 0.2500 0.0000
Ag4 0.3600 0.9359 0.7239
Li2 0.7534 0.7500 0.0000
In4 0.8131 0.9007 0.6464
In5 0.1668 0.5993 0.3536
In6 0.1869 0.0993 0.3536
```


Calculated relative energies: A 0; B 9, given in meV per atom